[1]
Compound: Tl2ZnRh
Source: the Alexandria database
Functional: PBE
Structure: optimized geometry

Computed properties:
E above lowest polymorph (kJ/mol of formula units): 82
Crystal system: orthorhombic
Total magnetization (μB/f.u.): 0.0

abc: 6.8201 7.2498 3.2469
angles: 90.00 90.00 90.00
Closest atoms and distances in Å follow each position.
Fractional coordinates of all 8 atoms:
Tl (0.2500, 0.2500, 0.0000)  4 Rh 2.97, 4 Zn 2.97, 2 Tl 3.25
Tl (0.2500, 0.7500, 0.0000)  4 Rh 2.97, 4 Zn 2.97, 2 Tl 3.25
Tl (0.7500, 0.2500, 0.0000)  4 Rh 2.97, 4 Zn 2.97, 2 Tl 3.25
Tl (0.7500, 0.7500, 0.0000)  4 Zn 2.97, 4 Rh 2.97, 2 Tl 3.25
Zn (0.0000, 0.0000, 0.5000)  8 Tl 2.97, 2 Zn 3.25
Zn (0.5000, 0.5000, 0.5000)  8 Tl 2.97, 2 Zn 3.25
Rh (0.0000, 0.5000, 0.5000)  8 Tl 2.97, 2 Rh 3.25
Rh (0.5000, 0.0000, 0.5000)  8 Tl 2.97, 2 Rh 3.25

[2]
Compound: PrEuZn
Source: the Alexandria database
Functional: PBE
Structure: optimized geometry

Computed properties:
E above lowest polymorph (kJ/mol of formula units): 62
Crystal system: cubic
Total magnetization (μB/f.u.): 7.6

abc: 7.3577 7.3577 7.3577
angles: 90.00 90.00 90.00
Closest atoms and distances in Å follow each position.
Fractional coordinates of all 12 atoms:
Pr (0.0000, 0.0000, 0.0000)  4 Zn 3.19
Pr (0.0000, 0.5000, 0.5000)  4 Zn 3.19
Pr (0.5000, 0.0000, 0.5000)  4 Zn 3.19
Pr (0.5000, 0.5000, 0.0000)  4 Zn 3.19
Eu (0.0000, 0.0000, 0.5000)  4 Zn 3.19
Eu (0.0000, 0.5000, 0.0000)  4 Zn 3.19
Eu (0.5000, 0.0000, 0.0000)  4 Zn 3.19
Eu (0.5000, 0.5000, 0.5000)  4 Zn 3.19
Zn (0.2500, 0.2500, 0.7500)  4 Pr 3.19, 4 Eu 3.19
Zn (0.2500, 0.7500, 0.2500)  4 Pr 3.19, 4 Eu 3.19
Zn (0.7500, 0.2500, 0.2500)  4 Pr 3.19, 4 Eu 3.19
Zn (0.7500, 0.7500, 0.7500)  4 Pr 3.19, 4 Eu 3.19

[3]
Compound: KZrV3
Source: the Alexandria database
Functional: PBE
Structure: optimized geometry

Computed properties:
E above lowest polymorph (kJ/mol of formula units): 0
Crystal system: cubic
Total magnetization (μB/f.u.): 8.0

abc: 5.0977 5.0977 5.0977
angles: 90.00 90.00 90.00
Closest atoms and distances in Å follow each position.
Fractional coordinates of all 5 atoms:
K (0.0000, 0.0000, 0.0000)  12 V 3.60
Zr (0.5000, 0.5000, 0.5000)  6 V 2.55
V (0.0000, 0.5000, 0.5000)  2 Zr 2.55
V (0.5000, 0.0000, 0.5000)  2 Zr 2.55
V (0.5000, 0.5000, 0.0000)  2 Zr 2.55

[4]
Compound: Li7Ac3Pt4
Source: the Alexandria database
Functional: PBE
Structure: optimized geometry

Computed properties:
Uncorrected energy (eV per atom): -4.20
Crystal system: monoclinic
Total magnetization (μB/f.u.): 0.0

abc: 8.5589 8.5589 10.4182
angles: 124.86 124.86 28.85
Closest atoms and distances in Å follow each position.
Fractional coordinates of all 14 atoms:
Li (0.0000, 0.0000, 0.0000)  2 Pt 2.66
Li (0.1687, 0.1687, 0.9261)  3 Pt 2.76-2.85, 4 Li 2.94-3.05
Li (0.3276, 0.3276, 0.4996)  3 Pt 2.64-2.73, 1 Li 2.82
Li (0.4822, 0.4822, 0.2053)  3 Pt 2.66-2.69, 3 Li 2.82-2.94
Li (0.5178, 0.5178, 0.7947)  3 Pt 2.66-2.69, 3 Li 2.82-2.94
Li (0.6724, 0.6724, 0.5004)  3 Pt 2.64-2.73, 1 Li 2.82
Li (0.8313, 0.8313, 0.0739)  3 Pt 2.76-2.85, 4 Li 2.94-3.05
Ac (0.0000, 0.0000, 0.5000)  6 Pt 3.20-3.27, 4 Li 3.56
Ac (0.3003, 0.3003, 0.7718)  4 Pt 3.06-3.08, 4 Li 3.12-3.39
Ac (0.6997, 0.6997, 0.2282)  4 Pt 3.06-3.08, 4 Li 3.12-3.39
Pt (0.1053, 0.1053, 0.3154)  5 Li 2.64-2.69
Pt (0.3397, 0.3397, 0.2490)  5 Li 2.66-2.85
Pt (0.6603, 0.6603, 0.7510)  5 Li 2.66-2.85
Pt (0.8947, 0.8947, 0.6846)  5 Li 2.64-2.69

[5]
Compound: KNpIO6
Source: the Alexandria database
Functional: PBE
Structure: optimized geometry

Computed properties:
Formation energy from raw total energies (eV per atom): -1.630
Crystal system: trigonal
Total magnetization (μB/f.u.): 1.0

abc: 5.6824 5.6824 11.7401
angles: 90.00 90.00 120.00
Closest atoms and distances in Å follow each position.
Fractional coordinates of all 18 atoms:
K (0.0000, 0.0000, 0.0000)  6 O 2.81
K (0.0000, 0.0000, 0.5000)  6 O 2.81
Np (0.3333, 0.6667, 0.2500)  6 O 2.10
Np (0.6667, 0.3333, 0.7500)  6 O 2.10
I (0.3333, 0.6667, 0.7500)  6 O 2.10
I (0.6667, 0.3333, 0.2500)  6 O 2.10
O (0.0008, 0.3772, 0.1555)  1 Np 2.10, 1 I 2.10
O (0.0008, 0.6236, 0.3445)  1 Np 2.10, 1 I 2.10
O (0.3764, 0.3772, 0.3445)  1 Np 2.10, 1 I 2.10
O (0.3764, 0.9992, 0.1555)  1 Np 2.10, 1 I 2.10
O (0.3772, 0.0008, 0.6555)  1 Np 2.10, 1 I 2.10
O (0.3772, 0.3764, 0.8445)  1 Np 2.10, 1 I 2.10
O (0.6228, 0.6236, 0.1555)  1 Np 2.10, 1 I 2.10
O (0.6228, 0.9992, 0.3445)  1 Np 2.10, 1 I 2.10
O (0.6236, 0.0008, 0.8445)  1 Np 2.10, 1 I 2.10
O (0.6236, 0.6228, 0.6555)  1 Np 2.10, 1 I 2.10
O (0.9992, 0.3764, 0.6555)  1 Np 2.10, 1 I 2.10
O (0.9992, 0.6228, 0.8445)  1 Np 2.10, 1 I 2.10

[6]
Compound: LaMoAs2
Source: the Alexandria database
Functional: PBE
Structure: optimized geometry

Computed properties:
E above lowest polymorph (kJ/mol of formula units): 158
Crystal system: tetragonal
Total magnetization (μB/f.u.): 0.0

abc: 3.4984 3.4984 6.9855
angles: 90.00 90.00 90.00
Closest atoms and distances in Å follow each position.
Fractional coordinates of all 4 atoms:
La (0.0000, 0.0000, 0.0000)  5 As 3.10-3.27
Mo (0.5000, 0.5000, 0.3598)  5 As 2.59-2.61
As (0.0000, 0.0000, 0.4676)  4 Mo 2.59
As (0.5000, 0.5000, 0.7328)  1 Mo 2.61

[7]
Compound: Ca2VFeAu
Source: the Alexandria database
Functional: PBE
Structure: optimized geometry

Computed properties:
Uncorrected energy (eV per atom): -4.19
Crystal system: tetragonal
Total magnetization (μB/f.u.): 6.4

abc: 5.6031 5.6031 4.9281
angles: 90.00 90.00 90.00
Closest atoms and distances in Å follow each position.
Fractional coordinates of all 5 atoms:
Ca (0.0000, 0.5000, 0.0000)  2 Au 2.80
Ca (0.5000, 0.0000, 0.0000)  2 Au 2.80
V (0.0000, 0.0000, 0.5000)  2 Au 2.46
Fe (0.5000, 0.5000, 0.5000)  8 Ca 3.73, 4 V 3.96
Au (0.0000, 0.0000, 0.0000)  2 V 2.46

[8]
Compound: LaClO
Source: the Alexandria database
Functional: PBE
Structure: optimized geometry

Computed properties:
Formation energy from raw total energies (eV per atom): -2.996
Crystal system: tetragonal
Total magnetization (μB/f.u.): 0.0

abc: 4.3720 4.3720 13.0699
angles: 90.00 90.00 90.00
Closest atoms and distances in Å follow each position.
Fractional coordinates of all 12 atoms:
La (0.0000, 0.0000, 0.1635)  4 O 2.46
La (0.0000, 0.0000, 0.8365)  4 O 2.46
La (0.5000, 0.5000, 0.3365)  4 O 2.46
La (0.5000, 0.5000, 0.6635)  4 O 2.46
Cl (0.0000, 0.5000, 0.0000)  4 La 3.06, 4 Cl 3.09, 2 O 3.27
Cl (0.0000, 0.5000, 0.5000)  4 La 3.06, 4 Cl 3.09, 2 O 3.27
Cl (0.5000, 0.0000, 0.0000)  4 La 3.06, 4 Cl 3.09, 2 O 3.27
Cl (0.5000, 0.0000, 0.5000)  4 La 3.06, 4 Cl 3.09, 2 O 3.27
O (0.0000, 0.5000, 0.2500)  4 La 2.46
O (0.0000, 0.5000, 0.7500)  4 La 2.46
O (0.5000, 0.0000, 0.2500)  4 La 2.46
O (0.5000, 0.0000, 0.7500)  4 La 2.46

Question: What is the total magnetization in the second record?
Answer: 7.6 μB/f.u.

Question: Among the records above, which one has the highest total magnetization?
Answer: KZrV3

Question: Which formula does entry 1 have?
Answer: Tl2ZnRh

Question: Look up the total magnetization of the first one.
Answer: 0.0 μB/f.u.